1.
# LaCd5Au2 | the Alexandria database | PBE | relaxed
data_LaCd5Au2
_chemical_formula_sum 'La1 Cd5 Au2'
_space_group_name_H-M_alt 'P 1'
_space_group_IT_number 1
_space_group_name_Hall 'P 1'
_cell_length_a 7.207
_cell_length_b 7.207
_cell_length_c 7.207
_cell_angle_alpha 147.79
_cell_angle_beta 104.88
_cell_angle_gamma 84.10
loop_
_atom_site_label
_atom_site_type_symbol
_atom_site_fract_x
_atom_site_fract_y
_atom_site_fract_z
_atom_site_occupancy
La1 La 0.000 0.000 0.000 1
Cd1 Cd 0.160 0.357 0.804 1
Cd2 Cd 0.447 0.643 0.804 1
Cd3 Cd 0.500 0.000 0.500 1
Cd4 Cd 0.553 0.357 0.196 1
Cd5 Cd 0.840 0.643 0.196 1
Au1 Au 0.228 0.728 0.500 1
Au2 Au 0.772 0.272 0.500 1
# - ΔE_f (eV/atom) = -0.35
# - space-group type = Immm, No. 71
# - M_tot (μB per formula unit) = 0.0


2.
# La2CdAu | the Alexandria database | PBE | relaxed
data_La2CdAu
_chemical_formula_sum 'La2 Cd1 Au1'
_space_group_name_H-M_alt 'P 1'
_space_group_IT_number 1
_space_group_name_Hall 'P 1'
_cell_length_a 5.241
_cell_length_b 5.241
_cell_length_c 5.241
_cell_angle_alpha 60.00
_cell_angle_beta 60.00
_cell_angle_gamma 60.00
loop_
_atom_site_label
_atom_site_type_symbol
_atom_site_fract_x
_atom_site_fract_y
_atom_site_fract_z
_atom_site_occupancy
La1 La 0.000 0.000 0.000 1
La2 La 0.250 0.250 0.250 1
Cd1 Cd 0.750 0.750 0.750 1
Au1 Au 0.500 0.500 0.500 1
# - ΔE_f (eV/atom) = -0.31
# - space-group type = F-43m, No. 216
# - M_tot (μB per formula unit) = 0.0


3.
# LaCd2Au6 | the Alexandria database | PBE | relaxed
data_LaCd2Au6
_chemical_formula_sum 'La1 Cd2 Au6'
_space_group_name_H-M_alt 'P 1'
_space_group_IT_number 1
_space_group_name_Hall 'P 1'
_cell_length_a 8.233
_cell_length_b 8.233
_cell_length_c 3.336
_cell_angle_alpha 90.00
_cell_angle_beta 90.00
_cell_angle_gamma 120.00
loop_
_atom_site_label
_atom_site_type_symbol
_atom_site_fract_x
_atom_site_fract_y
_atom_site_fract_z
_atom_site_occupancy
La1 La 0.000 0.000 0.000 1
Cd1 Cd 0.333 0.667 0.000 1
Cd2 Cd 0.667 0.333 0.000 1
Au1 Au 0.000 0.335 0.500 1
Au2 Au 0.000 0.665 0.500 1
Au3 Au 0.335 0.000 0.500 1
Au4 Au 0.335 0.335 0.500 1
Au5 Au 0.665 0.000 0.500 1
Au6 Au 0.665 0.665 0.500 1
# - ΔE_f (eV/atom) = -0.25
# - space-group type = P6/mmm, No. 191
# - M_tot (μB per formula unit) = 0.0
# - excess energy over the best structure of this formula in the dataset (eV per formula unit) = 0.43


Question: Look up the ΔE_f of the third one.
Answer: -0.25 eV/atom


Question: Which of these has the lowest ΔE_f?
Answer: LaCd5Au2


Question: M_tot of number 3 (LaCd2Au6)?
Answer: 0.0 μB per formula unit